Entry from Alexandria via LeMat-Bulk: a geometry-optimized MgZrTl2 structure (PBEsol).

Cell lengths 5.3551, 5.3551, 3.2314 Å; angles 90.00, 90.00, 105.75 degrees
Element x y z (fractional)
Mg1 0.0000 0.0000 0.0000
Zr1 0.5000 0.5000 0.0000
Tl1 0.0000 0.5000 0.5000
Tl2 0.5000 0.0000 0.5000

- Total DFT energy (no corrections): -16.47 eV/cell
- SG: Cmmm, No. 65
- V: 89.19 Å³ per cell



Entry from Alexandria via LeMat-Bulk: a geometry-optimized PSe2 structure (PBEsol).

Cell lengths 3.4451, 3.4451, 6.1175 Å; angles 90.00, 90.00, 120.00 degrees
Element x y z (fractional)
P1 0.0000 0.0000 0.0000
Se1 0.3333 0.6667 0.2415
Se2 0.6667 0.3333 0.7585

- ΔE_f (raw): -0.025 eV/atom
- Total DFT energy (no corrections): -13.57 eV/cell
- SG: P-3m1, No. 164
- V: 62.88 Å³ per cell
- ΔE to the lowest computed polymorph: 0 meV/atom



Entry from Alexandria via LeMat-Bulk: a geometry-optimized K2LiO2 structure (PBEsol).

Cell lengths 6.2882, 6.2882, 6.2882 Å; angles 141.57, 141.57, 55.48 degrees
Element x y z (fractional)
K1 0.2500 0.7500 0.5000
K2 0.7500 0.2500 0.5000
Li1 0.0000 0.0000 0.0000
O1 0.3857 0.3857 0.0000
O2 0.6143 0.6143 0.0000

- ΔE_f (raw): -0.414 eV/atom
- Total DFT energy (no corrections): -16.80 eV/cell
- SG: I4/mmm, No. 139
- V: 95.36 Å³ per cell



Entry from Alexandria via LeMat-Bulk: a geometry-optimized CrNiIr2 structure (PBEsol).

Cell lengths 4.4321, 4.4321, 4.4321 Å; angles 129.93, 129.93, 73.52 degrees
Element x y z (fractional)
Cr1 0.0000 0.0000 0.0000
Ni1 0.5000 0.5000 0.0000
Ir1 0.2500 0.7500 0.5000
Ir2 0.7500 0.2500 0.5000

- Total DFT energy (no corrections): -36.52 eV/cell
- SG: I4/mmm, No. 139
- V: 49.96 Å³ per cell



Entry from Alexandria via LeMat-Bulk: a geometry-optimized Te4RuPt structure (PBEsol).

Cell lengths 5.9388, 5.9388, 5.9388 Å; angles 60.00, 60.00, 60.00 degrees
Element x y z (fractional)
Te1 0.1255 0.1255 0.1255
Te2 0.1255 0.1255 0.6236
Te3 0.1255 0.6236 0.1255
Te4 0.6236 0.1255 0.1255
Ru1 0.7500 0.7500 0.7500
Pt1 0.5000 0.5000 0.5000

- ΔE_f (raw): 1.402 eV/atom
- Total DFT energy (no corrections): -22.83 eV/cell
- SG: F-43m, No. 216
- V: 148.11 Å³ per cell



Entry from Alexandria via LeMat-Bulk: a geometry-optimized YTe2Pb structure (PBEsol).

Cell lengths 9.6908, 9.6908, 9.6908 Å; angles 26.34, 26.34, 26.34 degrees
Element x y z (fractional)
Y1 0.0000 0.0000 0.0000
Te1 0.1012 0.1012 0.1012
Te2 0.8988 0.8988 0.8988
Pb1 0.5000 0.5000 0.5000

- ΔE_f (raw): -0.160 eV/atom
- Total DFT energy (no corrections): -18.51 eV/cell
- SG: R-3m, No. 166
- V: 157.86 Å³ per cell



Entry from Alexandria via LeMat-Bulk: a geometry-optimized Cd2InHg2 structure (PBEsol).

Cell lengths 8.5891, 8.5891, 3.1356 Å; angles 90.00, 90.00, 90.00 degrees
Element x y z (fractional)
Cd1 0.1306 0.3694 0.0000
Cd2 0.3694 0.8694 0.0000
Cd3 0.6306 0.1306 0.0000
Cd4 0.8694 0.6306 0.0000
In1 0.0000 0.0000 0.5000
In2 0.5000 0.5000 0.5000
Hg1 0.1673 0.6673 0.5000
Hg2 0.3327 0.1673 0.5000
Hg3 0.6673 0.8327 0.5000
Hg4 0.8327 0.3327 0.5000

- Total DFT energy (no corrections): -12.87 eV/cell
- SG: P4/mbm, No. 127
- V: 231.32 Å³ per cell
- ΔE to the lowest computed polymorph: 0 meV/atom



Entry from Alexandria via LeMat-Bulk: a geometry-optimized YTl2Pb structure (PBEsol).

Cell lengths 5.9693, 5.9693, 4.5635 Å; angles 112.39, 112.39, 44.97 degrees
Element x y z (fractional)
Y1 0.0000 0.0000 0.0000
Tl1 0.2494 0.2494 0.7496
Tl2 0.4990 0.4990 0.4991
Pb1 0.7498 0.7498 0.2496

- Total DFT energy (no corrections): -17.26 eV/cell
- SG: Cm, No. 8
- V: 104.71 Å³ per cell



Entry from Alexandria via LeMat-Bulk: a geometry-optimized KSc2Sb structure (PBEsol).

Cell lengths 3.3856, 4.9867, 6.7926 Å; angles 90.00, 101.13, 90.00 degrees
Element x y z (fractional)
K1 0.0000 0.0000 0.0000
Sc1 0.3113 0.5000 0.6895
Sc2 0.6887 0.5000 0.3105
Sb1 0.5000 0.0000 0.5000

- ΔE_f (raw): -0.017 eV/atom
- Total DFT energy (no corrections): -18.97 eV/cell
- SG: P2/m, No. 10
- V: 112.52 Å³ per cell



Entry from Alexandria via LeMat-Bulk: a geometry-optimized ZrTe structure (PBEsol).

Cell lengths 5.0441, 5.0441, 5.0441 Å; angles 60.00, 60.00, 60.00 degrees
Element x y z (fractional)
Zr1 0.1250 0.1250 0.1250
Zr2 0.8750 0.8750 0.8750
Te1 0.3750 0.3750 0.3750
Te2 0.6250 0.6250 0.6250

- ΔE_f (raw): -0.082 eV/atom
- Total DFT energy (no corrections): -25.56 eV/cell
- SG: Fd-3m, No. 227
- V: 90.75 Å³ per cell



Entry from Alexandria via LeMat-Bulk: a geometry-optimized KZnAu2 structure (PBEsol).

Cell lengths 9.3521, 9.3521, 9.3521 Å; angles 147.47, 147.47, 46.66 degrees
Element x y z (fractional)
K1 0.3750 0.6250 0.7500
K2 0.6250 0.3750 0.2500
Zn1 0.1250 0.8750 0.2500
Zn2 0.8750 0.1250 0.7500
Au1 0.0000 0.0000 0.0000
Au2 0.0000 0.0000 0.5000
Au3 0.0000 0.5000 0.0000
Au4 0.5000 0.0000 0.5000

- Total DFT energy (no corrections): -21.85 eV/cell
- SG: I4_1/amd, No. 141
- V: 235.63 Å³ per cell



Entry from Alexandria via LeMat-Bulk: a geometry-optimized HfGeMo structure (PBEsol).

Cell lengths 6.9447, 3.4926, 8.2633 Å; angles 90.00, 90.00, 90.00 degrees
Element x y z (fractional)
Hf1 0.0492 0.2500 0.1666
Hf2 0.4508 0.7500 0.6666
Hf3 0.5492 0.2500 0.3334
Hf4 0.9508 0.7500 0.8334
Ge1 0.2488 0.7500 0.3614
Ge2 0.2512 0.2500 0.8614
Ge3 0.7488 0.7500 0.1386
Ge4 0.7512 0.2500 0.6386
Mo1 0.1308 0.2500 0.5623
Mo2 0.3692 0.7500 0.0623
Mo3 0.6308 0.2500 0.9377
Mo4 0.8692 0.7500 0.4377

- Total DFT energy (no corrections): -116.04 eV/cell
- SG: Pnma, No. 62
- V: 200.42 Å³ per cell



V of number 7 (Cd2InHg2)?
231.32 Å³ per cell



The lowest total DFT energy (no corrections) belongs to which entry?
HfGeMo



Look up the V of the sixth one.
157.86 Å³ per cell



Copy entry 7 word for word.
Entry from Alexandria via LeMat-Bulk: a geometry-optimized Cd2InHg2 structure (PBEsol).

Cell lengths 8.5891, 8.5891, 3.1356 Å; angles 90.00, 90.00, 90.00 degrees
Element x y z (fractional)
Cd1 0.1306 0.3694 0.0000
Cd2 0.3694 0.8694 0.0000
Cd3 0.6306 0.1306 0.0000
Cd4 0.8694 0.6306 0.0000
In1 0.0000 0.0000 0.5000
In2 0.5000 0.5000 0.5000
Hg1 0.1673 0.6673 0.5000
Hg2 0.3327 0.1673 0.5000
Hg3 0.6673 0.8327 0.5000
Hg4 0.8327 0.3327 0.5000

- Total DFT energy (no corrections): -12.87 eV/cell
- SG: P4/mbm, No. 127
- V: 231.32 Å³ per cell
- ΔE to the lowest computed polymorph: 0 meV/atom